{
  "formula": "CdBi2OsO6",
  "functional": "GGA-PBE",
  "state": "optimized geometry",
  "formation_energy_uncorrected_ev_per_atom": -1.004,
  "n_ef_per_ev_atom": 0.398,
  "sg": "R3",
  "lattice": [[-2.489, 3.880, -3.628], [-5.052, 2.585, 1.488], [-0.037, 5.757, 1.439]],
  "species": ["Cd", "Bi", "Bi", "Os", "O", "O", "O", "O", "O", "O"],
  "frac_coords": [[0.799, 0.799, 0.604], [0.534, 0.534, 0.397], [0.024, 0.024, 0.928], [0.320, 0.320, 0.041], [0.585, 0.188, 0.243], [0.188, 0.984, 0.243], [0.984, 0.585, 0.243], [0.435, 0.659, 0.772], [0.659, 0.134, 0.772], [0.134, 0.435, 0.772]]
}

***

{
  "formula": "Tb8P3HSe4",
  "functional": "GGA-PBE",
  "state": "optimized geometry",
  "dft_energy_ev_per_atom": -5.981,
  "n_ef_per_ev_atom": 0.393,
  "sg": "R-3m",
  "lattice": [[-7.018, -0.880, -3.744], [3.673, -4.175, -5.904], [0.805, -2.371, 7.601]],
  "species": ["Tb", "Tb", "Tb", "Tb", "Tb", "Tb", "Tb", "Tb", "P", "P", "P", "H", "Se", "Se", "Se", "Se"],
  "frac_coords": [[0.247, 0.733, 0.986], [0.247, 0.733, 0.494], [0.257, 0.272, 0.515], [0.739, 0.733, 0.986], [0.261, 0.267, 0.014], [0.743, 0.728, 0.485], [0.753, 0.267, 0.506], [0.753, 0.267, 0.014], [0.500, 0.500, 0.000], [0.500, 0.500, 0.500], [0.000, 0.500, 0.500], [0.000, 0.500, 0.000], [0.500, 0.000, 0.000], [0.500, 0.000, 0.500], [0.000, 0.000, 0.000], [0.000, 0.000, 0.500]]
}

***

{
  "formula": "Li2AsP2",
  "functional": "GGA-PBE",
  "state": "optimized geometry",
  "polymorph_energy_ev_per_fu": 0.00,
  "n_ef_per_ev_atom": 0.352,
  "sg": "P4/mbm",
  "formation_enthalpy_0k_ev_per_atom": -0.2114,
  "lattice": [[-4.141, 6.287, -0.714], [-6.326, -4.132, 0.300], [-0.049, 0.268, 2.643]],
  "species": ["P", "P", "P", "P", "As", "As", "Li", "Li", "Li", "Li"],
  "frac_coords": [[0.317, 0.817, 0.000], [0.817, 0.683, 0.000], [0.683, 0.183, 0.000], [0.183, 0.317, 0.000], [0.000, 0.000, 0.000], [0.500, 0.500, 0.000], [0.117, 0.617, 0.500], [0.617, 0.883, 0.500], [0.883, 0.383, 0.500], [0.383, 0.117, 0.500]]
}

***

{
  "formula": "Na4MgC6S6N6",
  "functional": "GGA-PBE",
  "state": "optimized geometry",
  "formation_energy_uncorrected_ev_per_atom": -0.337,
  "n_ef_per_ev_atom": 0.000,
  "sg": "P-31c",
  "lattice": [[8.820, 0.000, 0.000], [-4.410, 7.638, 0.000], [0.000, 0.000, 14.048]],
  "species": ["Na", "Na", "Na", "Na", "Na", "Na", "Na", "Na", "Mg", "Mg", "C", "C", "C", "C", "C", "C", "C", "C", "C", "C", "C", "C", "S", "S", "S", "S", "S", "S", "S", "S", "S", "S", "S", "S", "N", "N", "N", "N", "N", "N", "N", "N", "N", "N", "N", "N"],
  "frac_coords": [[0.333, 0.667, 0.975], [0.667, 0.333, 0.475], [0.667, 0.333, 0.025], [0.333, 0.667, 0.525], [0.000, 0.000, 0.000], [0.333, 0.667, 0.250], [0.000, 0.000, 0.500], [0.667, 0.333, 0.750], [0.667, 0.333, 0.250], [0.333, 0.667, 0.750], [0.346, 0.001, 0.365], [0.654, 0.999, 0.635], [0.346, 0.999, 0.865], [0.001, 0.654, 0.635], [0.999, 0.346, 0.365], [0.346, 0.346, 0.635], [0.001, 0.346, 0.865], [0.654, 0.001, 0.135], [0.999, 0.654, 0.135], [0.654, 0.654, 0.865], [0.654, 0.654, 0.365], [0.346, 0.346, 0.135], [0.172, 0.817, 0.393], [0.645, 0.817, 0.107], [0.828, 0.183, 0.607], [0.183, 0.355, 0.393], [0.645, 0.828, 0.393], [0.172, 0.355, 0.107], [0.828, 0.645, 0.893], [0.355, 0.172, 0.607], [0.817, 0.645, 0.607], [0.817, 0.172, 0.893], [0.355, 0.183, 0.893], [0.183, 0.828, 0.107], [0.339, 0.866, 0.843], [0.527, 0.661, 0.843], [0.134, 0.661, 0.657], [0.866, 0.527, 0.157], [0.527, 0.866, 0.657], [0.134, 0.473, 0.843], [0.866, 0.339, 0.343], [0.339, 0.473, 0.657], [0.473, 0.339, 0.157], [0.473, 0.134, 0.343], [0.661, 0.527, 0.343], [0.661, 0.134, 0.157]]
}

***

{
  "formula": "Te2PtW",
  "functional": "GGA-PBE",
  "state": "optimized geometry",
  "polymorph_energy_ev_per_fu": 2.12,
  "formation_energy_uncorrected_ev_per_atom": 0.580,
  "n_ef_per_ev_atom": 0.995,
  "sg": "P4/mmm",
  "lattice": [[-2.027, 1.738, 2.282], [-3.320, 0.494, -3.325], [-1.966, -4.076, 1.358]],
  "species": ["Pt", "Te", "Te", "W"],
  "frac_coords": [[0.500, 0.000, 0.500], [0.000, 0.000, 0.000], [0.000, 0.500, 0.500], [0.500, 0.500, 0.000]]
}

***

{
  "formula": "NdSeO6",
  "functional": "GGA-PBE",
  "state": "optimized geometry",
  "formation_energy_uncorrected_ev_per_atom": -0.999,
  "n_ef_per_ev_atom": 0.341,
  "sg": "C2/m",
  "lattice": [[4.352, -0.345, -0.252], [-0.017, 4.366, -0.252], [0.996, 0.923, 4.732]],
  "species": ["Nd", "Se", "O", "O", "O", "O", "O", "O"],
  "frac_coords": [[0.500, 0.500, 0.500], [0.000, 0.000, 0.000], [0.053, 0.681, 0.255], [0.681, 0.053, 0.255], [0.319, 0.947, 0.745], [0.947, 0.319, 0.745], [0.272, 0.272, 0.133], [0.728, 0.728, 0.867]]
}

***

{
  "formula": "TaBe3",
  "functional": "GGA-PBE",
  "state": "optimized geometry",
  "n_ef_per_ev_atom": 0.933,
  "sg": "Pm-3n",
  "formation_enthalpy_0k_ev_per_atom": 0.5056,
  "lattice": [[-1.758, -0.210, 4.150], [4.154, 0.019, 1.761], [-0.100, 4.507, 0.186]],
  "species": ["Ta", "Ta", "Be", "Be", "Be", "Be", "Be", "Be"],
  "frac_coords": [[0.000, 0.000, 0.000], [0.500, 0.500, 0.500], [0.750, 0.500, 0.000], [0.250, 0.500, 0.000], [0.000, 0.750, 0.500], [0.000, 0.250, 0.500], [0.500, 0.000, 0.250], [0.500, 0.000, 0.750]]
}

***

{
  "formula": "La2TbTm8",
  "functional": "GGA-PBE",
  "state": "optimized geometry",
  "polymorph_energy_ev_per_fu": 1.62,
  "n_ef_per_ev_atom": 1.411,
  "sg": "C2/m",
  "formation_enthalpy_0k_ev_per_atom": 0.1838,
  "lattice": [[5.972, 0.000, -2.693], [-0.731, 6.403, -1.622], [0.398, 0.735, 8.852]],
  "species": ["La", "La", "Tb", "Tm", "Tm", "Tm", "Tm", "Tm", "Tm", "Tm", "Tm"],
  "frac_coords": [[0.751, 0.680, 0.503], [0.249, 0.320, 0.497], [0.000, 0.000, 0.000], [0.825, 0.399, 0.169], [0.657, 0.601, 0.831], [0.802, 0.189, 0.603], [0.198, 0.811, 0.397], [0.343, 0.399, 0.169], [0.175, 0.601, 0.831], [0.589, 0.911, 0.177], [0.411, 0.089, 0.823]]
}

***

{
  "formula": "AgGeBi3",
  "functional": "GGA-PBE",
  "state": "optimized geometry",
  "n_ef_per_ev_atom": 0.810,
  "sg": "Pm-3m",
  "formation_enthalpy_0k_ev_per_atom": 0.7148,
  "lattice": [[-3.382, 3.350, -2.750], [-1.996, -4.300, -2.784], [-3.847, -0.714, 3.861]],
  "species": ["Ge", "Bi", "Bi", "Bi", "Ag"],
  "frac_coords": [[0.500, 0.500, 0.500], [0.000, 0.500, 0.000], [0.000, 0.000, 0.500], [0.500, 0.000, 0.000], [0.000, 0.000, 0.000]]
}

***

{
  "formula": "SmTiS3",
  "functional": "GGA-PBE",
  "state": "optimized geometry",
  "formation_energy_uncorrected_ev_per_atom": -1.693,
  "n_ef_per_ev_atom": 0.381,
  "sg": "Pnma",
  "lattice": [[3.713, 0.000, 0.000], [0.000, 7.903, 0.000], [0.000, 0.000, 13.158]],
  "species": ["Sm", "Sm", "Sm", "Sm", "Ti", "Ti", "Ti", "Ti", "S", "S", "S", "S", "S", "S", "S", "S", "S", "S", "S", "S"],
  "frac_coords": [[0.250, 0.920, 0.329], [0.750, 0.080, 0.671], [0.750, 0.580, 0.829], [0.250, 0.420, 0.171], [0.250, 0.648, 0.548], [0.750, 0.352, 0.452], [0.750, 0.852, 0.048], [0.250, 0.148, 0.952], [0.750, 0.199, 0.288], [0.250, 0.659, 0.990], [0.250, 0.024, 0.116], [0.250, 0.524, 0.384], [0.250, 0.159, 0.510], [0.750, 0.476, 0.616], [0.250, 0.301, 0.788], [0.750, 0.976, 0.884], [0.750, 0.341, 0.010], [0.750, 0.699, 0.212], [0.750, 0.841, 0.490], [0.250, 0.801, 0.712]]
}

***

{
  "formula": "GeSCl",
  "functional": "GGA-PBE",
  "state": "optimized geometry",
  "polymorph_energy_ev_per_fu": 0.24,
  "formation_energy_uncorrected_ev_per_atom": -0.449,
  "n_ef_per_ev_atom": 0.668,
  "sg": "P-1",
  "lattice": [[-2.081, 1.525, -3.743], [-2.400, -5.374, -3.617], [-4.678, 5.066, 4.754]],
  "species": ["Ge", "Ge", "S", "S", "Cl", "Cl"],
  "frac_coords": [[0.666, 0.669, 0.497], [0.334, 0.331, 0.503], [0.782, 0.441, 0.636], [0.218, 0.559, 0.364], [0.464, 0.080, 0.758], [0.536, 0.920, 0.242]]
}

***

{
  "formula": "AcNd3Pb",
  "functional": "GGA-PBE",
  "state": "optimized geometry",
  "n_ef_per_ev_atom": 1.178,
  "sg": "P2_1/c",
  "formation_enthalpy_0k_ev_per_atom": -0.1585,
  "lattice": [[9.142, 0.000, 0.000], [0.000, 8.920, -1.215], [0.000, -4.248, 9.420]],
  "species": ["Ac", "Ac", "Ac", "Ac", "Nd", "Nd", "Nd", "Nd", "Nd", "Nd", "Nd", "Nd", "Nd", "Nd", "Nd", "Nd", "Pb", "Pb", "Pb", "Pb"],
  "frac_coords": [[0.927, 0.674, 0.279], [0.073, 0.326, 0.721], [0.427, 0.326, 0.221], [0.573, 0.674, 0.779], [0.096, 0.090, 0.309], [0.904, 0.910, 0.691], [0.596, 0.910, 0.191], [0.404, 0.090, 0.809], [0.564, 0.764, 0.472], [0.436, 0.236, 0.528], [0.064, 0.236, 0.028], [0.936, 0.764, 0.972], [0.199, 0.612, 0.579], [0.801, 0.388, 0.421], [0.699, 0.388, 0.921], [0.301, 0.612, 0.079], [0.235, 0.898, 0.474], [0.765, 0.102, 0.526], [0.735, 0.102, 0.026], [0.265, 0.898, 0.974]]
}

***

{
  "formula": "Sm2TlAuSe4",
  "functional": "GGA-PBE",
  "state": "optimized geometry",
  "formation_energy_uncorrected_ev_per_atom": -1.259,
  "sg": "Cmcm",
  "lattice": [[-3.570, -1.688, -1.497], [4.542, 0.857, -5.838], [5.508, -13.669, 2.280]],
  "species": ["Sm", "Sm", "Sm", "Sm", "Tl", "Tl", "Au", "Au", "Se", "Se", "Se", "Se", "Se", "Se", "Se", "Se"],
  "frac_coords": [[0.370, 0.739, 0.570], [0.630, 0.261, 0.070], [0.630, 0.261, 0.430], [0.370, 0.739, 0.930], [0.127, 0.254, 0.750], [0.873, 0.746, 0.250], [0.844, 0.687, 0.750], [0.156, 0.313, 0.250], [0.267, 0.534, 0.106], [0.733, 0.466, 0.606], [0.733, 0.466, 0.894], [0.267, 0.534, 0.394], [0.000, 0.000, 0.500], [0.000, 0.000, 0.000], [0.454, 0.907, 0.750], [0.546, 0.093, 0.250]]
}

***

{
  "formula": "Y8As4PS3",
  "functional": "GGA-PBE",
  "state": "optimized geometry",
  "formation_energy_uncorrected_ev_per_atom": -1.772,
  "n_ef_per_ev_atom": 0.241,
  "sg": "R-3m",
  "lattice": [[8.087, 0.000, 0.000], [0.000, 8.069, -0.017], [-4.043, -4.040, 5.720]],
  "species": ["Y", "Y", "Y", "Y", "Y", "Y", "Y", "Y", "As", "As", "As", "As", "P", "S", "S", "S"],
  "frac_coords": [[0.247, 0.747, 0.000], [0.247, 0.747, 0.494], [0.250, 0.250, 0.500], [0.752, 0.747, 0.000], [0.248, 0.253, 0.000], [0.750, 0.750, 0.500], [0.753, 0.253, 0.506], [0.753, 0.253, 0.000], [0.500, 0.000, 0.000], [0.500, 0.000, 0.500], [0.000, 0.000, 0.000], [0.000, 0.000, 0.500], [0.000, 0.500, 0.000], [0.500, 0.500, 0.000], [0.500, 0.500, 0.500], [0.000, 0.500, 0.500]]
}

***

{
  "formula": "Li3Mg3Ag5",
  "functional": "GGA-PBE",
  "state": "optimized geometry",
  "n_ef_per_ev_atom": 0.359,
  "sg": "P1",
  "formation_enthalpy_0k_ev_per_atom": -0.1829,
  "lattice": [[-1.846, -0.263, 6.838], [7.076, -2.158, -1.738], [-1.819, 4.145, 7.041]],
  "species": ["Li", "Li", "Li", "Mg", "Mg", "Mg", "Ag", "Ag", "Ag", "Ag", "Ag"],
  "frac_coords": [[0.458, 0.621, 0.719], [0.456, 0.956, 0.388], [0.232, 0.568, 0.193], [0.030, 0.544, 0.681], [0.911, 0.279, 0.049], [0.007, 0.981, 0.401], [0.704, 0.286, 0.552], [0.738, 0.667, 0.241], [0.511, 0.263, 0.041], [0.202, 0.967, 0.892], [0.752, 0.870, 0.844]]
}

***

{
  "formula": "Pu8Pt3Rh2",
  "functional": "GGA-PBE",
  "state": "optimized geometry",
  "n_ef_per_ev_atom": 3.886,
  "sg": "C2/m",
  "formation_enthalpy_0k_ev_per_atom": -0.3916,
  "lattice": [[5.031, 5.512, 0.919], [-5.031, 5.512, 0.919], [0.000, 1.472, 5.195]],
  "species": ["Pu", "Pu", "Pu", "Pu", "Pu", "Pu", "Pu", "Pu", "Pt", "Pt", "Pt", "Rh", "Rh"],
  "frac_coords": [[0.425, 0.425, 0.774], [0.575, 0.575, 0.226], [0.858, 0.858, 0.108], [0.142, 0.142, 0.892], [0.402, 0.921, 0.352], [0.921, 0.402, 0.352], [0.079, 0.598, 0.648], [0.598, 0.079, 0.648], [0.000, 0.000, 0.500], [0.736, 0.264, 0.000], [0.264, 0.736, 0.000], [0.697, 0.697, 0.661], [0.303, 0.303, 0.339]]
}

***

{
  "formula": "RhSeI2O",
  "functional": "GGA-PBE",
  "state": "optimized geometry",
  "polymorph_energy_ev_per_fu": 0.00,
  "formation_energy_uncorrected_ev_per_atom": 0.160,
  "n_ef_per_ev_atom": 0.966,
  "sg": "P4/mmm",
  "lattice": [[5.625, 0.000, 0.000], [0.000, 5.625, 0.000], [0.000, 0.000, 3.734]],
  "species": ["I", "I", "Rh", "O", "Se"],
  "frac_coords": [[0.000, 0.500, 0.000], [0.500, 0.000, 0.000], [0.000, 0.000, 0.000], [0.000, 0.000, 0.500], [0.500, 0.500, 0.500]]
}

***

{
  "formula": "Na4B7C",
  "functional": "GGA-PBE",
  "state": "optimized geometry",
  "polymorph_energy_ev_per_fu": 0.13,
  "n_ef_per_ev_atom": 0.308,
  "sg": "Cmcm",
  "formation_enthalpy_0k_ev_per_atom": 0.2332,
  "lattice": [[5.930, -0.003, 0.000], [-2.968, 5.134, 0.000], [0.000, 0.000, 8.681]],
  "species": ["Na", "Na", "Na", "Na", "Na", "Na", "Na", "Na", "C", "C", "B", "B", "B", "B", "B", "B", "B", "B", "B", "B", "B", "B", "B", "B"],
  "frac_coords": [[0.500, 0.500, 0.000], [0.500, 0.500, 0.500], [0.500, 0.000, 0.000], [0.500, 0.000, 0.500], [0.000, 0.500, 0.000], [0.000, 0.500, 0.500], [0.000, 0.000, 0.000], [0.000, 0.000, 0.500], [0.667, 0.833, 0.750], [0.833, 0.667, 0.250], [0.162, 0.338, 0.750], [0.338, 0.162, 0.250], [0.167, 0.333, 0.250], [0.333, 0.167, 0.750], [0.161, 0.824, 0.750], [0.339, 0.676, 0.250], [0.145, 0.823, 0.250], [0.355, 0.677, 0.750], [0.676, 0.339, 0.750], [0.824, 0.161, 0.250], [0.677, 0.355, 0.250], [0.823, 0.145, 0.750], [0.678, 0.822, 0.250], [0.822, 0.678, 0.750]]
}

***

{
  "formula": "V4Ge2As",
  "functional": "GGA-PBE",
  "state": "optimized geometry",
  "polymorph_energy_ev_per_fu": 0.00,
  "n_ef_per_ev_atom": 1.282,
  "sg": "I-42d",
  "formation_enthalpy_0k_ev_per_atom": -0.2841,
  "lattice": [[6.366, -0.824, -0.125], [-1.282, 6.289, 0.124], [-2.450, -2.817, 5.223]],
  "species": ["V", "V", "V", "V", "V", "V", "V", "V", "Ge", "Ge", "Ge", "Ge", "As", "As"],
  "frac_coords": [[0.045, 0.288, 0.408], [0.370, 0.461, 0.256], [0.880, 0.636, 0.592], [0.712, 0.120, 0.756], [0.364, 0.955, 0.244], [0.205, 0.113, 0.744], [0.539, 0.795, 0.908], [0.887, 0.630, 0.092], [0.507, 0.375, 0.632], [0.743, 0.875, 0.368], [0.625, 0.257, 0.132], [0.125, 0.493, 0.868], [0.250, 0.750, 0.500], [0.000, 0.000, 0.000]]
}